The following is a DFT calculation (meta-GGA SCAN) of FeBr3 at its PBEsol-relaxed geometry.

## Properties
crystal system: trigonal
ΔE_f (raw): -0.426 eV per atom

Structure (CIF):
```
data_FeBr3
_symmetry_space_group_name_H-M 'R -3'
_symmetry_Int_Tables_number 148
_symmetry_space_group_name_Hall '-R 3'
_cell_length_a 6.1002
_cell_length_b 6.1002
_cell_length_c 17.9930
_cell_angle_alpha 90.00
_cell_angle_beta 90.00
_cell_angle_gamma 120.00
loop_
_atom_site_label
_atom_site_fract_x
_atom_site_fract_y
_atom_site_fract_z
Fe1 0.0000 0.0000 0.1666
Br1 0.0006 0.3607 0.4249
```

=====

The following is a DFT calculation (meta-GGA SCAN) of Li5Mn2CoO8 at its PBEsol-relaxed geometry.

## Properties
crystal system: monoclinic
relative energy among the computed polymorphs: 0.0 meV/atom
ΔE_f (raw): -2.197 eV per atom

Structure (CIF):
```
data_Li5Mn2CoO8
_symmetry_space_group_name_H-M 'P 1 2 1'
_symmetry_Int_Tables_number 3
_symmetry_space_group_name_Hall 'P 2y'
_cell_length_a 4.856
_cell_length_b 5.616
_cell_length_c 4.965
_cell_angle_alpha 90.00
_cell_angle_beta 109.06
_cell_angle_gamma 90.00
loop_
_atom_site_label
_atom_site_fract_x
_atom_site_fract_y
_atom_site_fract_z
Li1 0.000 0.000 0.000
Li2 0.000 0.235 0.500
Li3 0.000 0.473 0.000
Li4 0.500 0.230 0.000
Li5 0.500 0.740 0.000
Mn1 0.000 0.743 0.500
Mn2 0.500 0.475 0.500
Co1 0.500 0.987 0.500
O1 0.248 0.974 0.726
O2 0.250 0.501 0.724
O3 0.256 0.735 0.279
O4 0.279 0.237 0.272
```

=====

The following is a DFT calculation (meta-GGA SCAN) of ZrSc2Cd at its PBEsol-relaxed geometry.

## Properties
energy relative to the elements: -64 meV/atom
crystal system: orthorhombic
relative energy among the computed polymorphs: 146.5 meV/atom

Structure (CIF):
```
data_ZrSc2Cd
_symmetry_space_group_name_H-M 'C m m m'
_symmetry_Int_Tables_number 65
_symmetry_space_group_name_Hall '-C 2 2'
_cell_length_a 6.596
_cell_length_b 8.344
_cell_length_c 3.156
_cell_angle_alpha 90.00
_cell_angle_beta 90.00
_cell_angle_gamma 90.00
loop_
_atom_site_label
_atom_site_fract_x
_atom_site_fract_y
_atom_site_fract_z
Zr1 0.000 0.000 0.000
Sc1 0.250 0.250 0.500
Cd1 0.000 0.500 0.000
```

=====

The following is a DFT calculation (meta-GGA SCAN) of Cs3NaTa at its PBEsol-relaxed geometry.

## Properties
energy relative to the elements: 1183 meV/atom
crystal system: cubic

Structure (CIF):
```
data_Cs3NaTa
_symmetry_space_group_name_H-M 'P m -3 m'
_symmetry_Int_Tables_number 221
_symmetry_space_group_name_Hall '-P 4 2 3'
_cell_length_a 7.130
_cell_length_b 7.130
_cell_length_c 7.130
_cell_angle_alpha 90.00
_cell_angle_beta 90.00
_cell_angle_gamma 90.00
loop_
_atom_site_label
_atom_site_fract_x
_atom_site_fract_y
_atom_site_fract_z
Cs1 0.000 0.000 0.500
Na1 0.500 0.500 0.500
Ta1 0.000 0.000 0.000
```

=====

The following is a DFT calculation (meta-GGA SCAN) of HgSbRh2 at its PBEsol-relaxed geometry.

## Properties
crystal system: trigonal
relative energy among the computed polymorphs: 379.7 meV/atom
ΔE_f (raw): 0.273 eV per atom

Structure (CIF):
```
data_HgSbRh2
_symmetry_space_group_name_H-M 'R 3 m'
_symmetry_Int_Tables_number 160
_symmetry_space_group_name_Hall 'R 3 -2"'
_cell_length_a 3.0330
_cell_length_b 3.0330
_cell_length_c 27.3486
_cell_angle_alpha 90.00
_cell_angle_beta 90.00
_cell_angle_gamma 120.00
loop_
_atom_site_label
_atom_site_fract_x
_atom_site_fract_y
_atom_site_fract_z
Hg1 0.0000 0.0000 0.0000
Sb1 0.0000 0.0000 0.2276
Rh1 0.0000 0.0000 0.4879
Rh2 0.0000 0.0000 0.7462
```

=====

The following is a DFT calculation (meta-GGA SCAN) of SrTePb2 at its PBEsol-relaxed geometry.

## Properties
crystal system: cubic
ΔE_f (raw): -0.525 eV per atom

Structure (CIF):
```
data_SrTePb2
_symmetry_space_group_name_H-M 'F -4 3 m'
_symmetry_Int_Tables_number 216
_symmetry_space_group_name_Hall 'F -4 2 3'
_cell_length_a 7.909
_cell_length_b 7.909
_cell_length_c 7.909
_cell_angle_alpha 90.00
_cell_angle_beta 90.00
_cell_angle_gamma 90.00
loop_
_atom_site_label
_atom_site_fract_x
_atom_site_fract_y
_atom_site_fract_z
Sr1 0.000 0.000 0.000
Te1 0.250 0.250 0.250
Pb1 0.000 0.000 0.500
Pb2 0.250 0.250 0.750
```

=====

The following is a DFT calculation (meta-GGA SCAN) of Li2CoIr at its PBEsol-relaxed geometry.

## Properties
energy relative to the elements: -136 meV/atom
crystal system: monoclinic
relative energy among the computed polymorphs: 24.6 meV/atom

Structure (CIF):
```
data_Li2CoIr
_symmetry_space_group_name_H-M 'C 1 2/m 1'
_symmetry_Int_Tables_number 12
_symmetry_space_group_name_Hall '-C 2y'
_cell_length_a 4.998
_cell_length_b 8.726
_cell_length_c 2.514
_cell_angle_alpha 90.00
_cell_angle_beta 117.86
_cell_angle_gamma 90.00
loop_
_atom_site_label
_atom_site_fract_x
_atom_site_fract_y
_atom_site_fract_z
Li1 0.250 0.250 0.000
Co1 0.000 0.000 0.500
Ir1 0.000 0.500 0.500
```

=====

The following is a DFT calculation (meta-GGA SCAN) of Mn2HgW at its PBEsol-relaxed geometry.

## Properties
energy relative to the elements: 356 meV/atom
crystal system: orthorhombic

Structure (CIF):
```
data_Mn2HgW
_symmetry_space_group_name_H-M 'I m m 2'
_symmetry_Int_Tables_number 44
_symmetry_space_group_name_Hall 'I 2 -2'
_cell_length_a 3.240
_cell_length_b 4.206
_cell_length_c 8.460
_cell_angle_alpha 90.00
_cell_angle_beta 90.00
_cell_angle_gamma 90.00
loop_
_atom_site_label
_atom_site_fract_x
_atom_site_fract_y
_atom_site_fract_z
Mn1 0.000 0.000 0.000
Mn2 0.000 0.500 0.255
Hg1 0.000 0.000 0.493
W1 0.000 0.500 0.722
```